The following is a PBE calculation of a relaxed KC4 crystal, from the Alexandria database.

Results
E_tot: -29.37 eV per cell
Energy relative to the lowest polymorph listed for this composition: 1550 meV/atom
Spin magnetization: 0.00 μB/f.u.
E_form: 166.42 kJ/mol of atoms
Crystal system: tetragonal
D(E_F): 1.725 states/eV/f.u.

abc: 5.6888 5.6888 5.6888
angles: 147.71 147.71 46.31
Closest atoms and distances in Å follow each position.
Element x y z (fractional)
C (0.7500, 0.2500, 0.5000)  4 C 1.66
K (0.0000, 0.0000, 0.0000)  18 C 3.06-3.12, 4 K 3.16
C (0.7022, 0.7022, 0.0000)  4 C 1.66
C (0.2500, 0.7500, 0.5000)  4 C 1.66
C (0.2978, 0.2978, 0.0000)  4 C 1.66

---

The following is a PBE calculation of a relaxed K5C4 crystal, from the Alexandria database.

Results
E_tot: -48.66 eV per cell
Energy relative to the lowest polymorph listed for this composition: 1426 meV/atom
Spin magnetization: 11.00 μB/f.u.
E_form: 193.55 kJ/mol of atoms
Crystal system: hexagonal
D(E_F): 4.790 states/eV/f.u.

abc: 8.6432 8.6432 7.9807
angles: 90.00 90.00 120.00
Closest atoms and distances in Å follow each position.
Element x y z (fractional)
C (0.5854, 0.5854, 0.2500)  7 K 2.93-3.28
C (0.0000, 0.4146, 0.2500)  7 K 2.93-3.28
K (0.2458, 0.0000, 0.7500)  5 C 2.91-3.12
K (0.6667, 0.3333, 0.0000)  6 C 3.28
K (0.0000, 0.7542, 0.2500)  5 C 2.91-3.12
K (0.7542, 0.7542, 0.7500)  5 C 2.91-3.12
C (0.4146, 0.4146, 0.7500)  7 K 2.93-3.28
K (0.3333, 0.6667, 0.0000)  6 C 3.28
K (0.3333, 0.6667, 0.5000)  6 C 3.28
C (0.5854, 0.0000, 0.7500)  7 K 2.93-3.28
K (0.7542, 0.0000, 0.2500)  5 C 2.91-3.12
C (0.0000, 0.0000, 0.0000)  6 K 2.91
C (0.0000, 0.0000, 0.5000)  6 K 2.91
C (0.4146, 0.0000, 0.2500)  7 K 2.93-3.28
C (0.0000, 0.5854, 0.7500)  7 K 2.93-3.28
K (0.6667, 0.3333, 0.5000)  6 C 3.28
K (0.2458, 0.2458, 0.2500)  5 C 2.91-3.12
K (0.0000, 0.2458, 0.7500)  5 C 2.91-3.12

---

The following is a PBE calculation of a relaxed K2C crystal, from the Alexandria database.

Results
E_tot: -14.42 eV per cell
Energy relative to the lowest polymorph listed for this composition: 36 meV/atom
Spin magnetization: 2.04 μB/f.u.
E_form: 135.34 kJ/mol of atoms
Crystal system: orthorhombic
D(E_F): 1.147 states/eV/f.u.

abc: 4.5349 4.5349 13.5137
angles: 90.00 90.00 120.08
Closest atoms and distances in Å follow each position.
Element x y z (fractional)
K (0.8280, 0.1720, 0.5064)  3 C 2.98
C (0.8390, 0.1610, 0.1113)  6 K 2.97-2.98
K (0.5057, 0.4943, 0.2149)  3 C 2.97
K (0.1720, 0.8280, 0.0064)  3 C 2.98
C (0.1610, 0.8390, 0.6113)  6 K 2.97-2.98
K (0.4943, 0.5057, 0.7149)  3 C 2.97

---

The following is a PBE calculation of a relaxed KC5 crystal, from the Alexandria database.

Results
E_tot: -39.65 eV per cell
Energy relative to the lowest polymorph listed for this composition: 331 meV/atom
Spin magnetization: 1.56 μB/f.u.
E_form: 121.68 kJ/mol of atoms
Crystal system: orthorhombic
D(E_F): 1.370 states/eV/f.u.

abc: 8.8420 8.8420 4.5700
angles: 90.00 90.00 163.11
Closest atoms and distances in Å follow each position.
Element x y z (fractional)
C (0.9606, 0.0394, 0.5000)  2 C 1.30
C (0.6947, 0.3053, 0.0000)  1 C 1.40
C (0.4603, 0.5397, 0.5000)  2 C 1.30
C (0.7745, 0.2255, 0.0000)  3 C 1.40-1.44
C (0.3101, 0.6899, 0.0000)  2 C 1.44
K (0.1330, 0.8670, 0.5000)  2 K 2.60, 4 C 2.84